[1]
Material: Dy2CoGe3
Method: DFT, PBE
State: optimized geometry

The relative energy among the computed polymorphs is 0 meV/atom. The calculated formation energy comes out at -0.636 eV per atom.

The space group is Cm (No. 8) and the conventional cell measures 10.442, 4.202 and 6.926 Å, with angles of 90.00, 130.54 and 90.00 degrees. The inequivalent atoms are Dy at (0.000, 0.000, 0.000), Dy at (0.115, 0.000, 0.592), Co at (0.380, 0.000, 0.547), Ge at (0.163, 0.500, 0.922), Ge at (0.253, 0.500, 0.425) and Ge at (0.373, 0.000, 0.189).

[2]
Material: La17Cd12
Method: DFT, PBE
State: optimized geometry

The calculated formation energy comes out at -0.250 eV per atom.

The space group is I-43m (No. 217) and the conventional cell measures 11.964, 11.964 and 11.964 Å, with angles of 90.00, 90.00 and 90.00 degrees. The inequivalent atoms are La at (0.000, 0.000, 0.000), La at (0.061, 0.359, 0.641), La at (0.175, 0.175, 0.175) and Cd at (0.092, 0.092, 0.728).

[3]
Material: Ce2AuBr
Method: DFT, PBE
State: optimized geometry

The relative energy among the computed polymorphs is 36 meV/atom. As for the uncorrected formation energy: -0.781 eV per atom.

The space group is P4/mmm (No. 123) and the conventional cell measures 3.530, 3.530 and 8.165 Å, with angles of 90.00, 90.00 and 90.00 degrees. The inequivalent atoms are Ce at (0.000, 0.000, 0.237), Au at (0.500, 0.500, 0.000) and Br at (0.500, 0.500, 0.500).

[4]
Material: Tb6Pr2Nd3In
Method: DFT, PBE
State: optimized geometry

The calculated formation energy comes out at -0.057 eV per atom.

The space group is C2/m (No. 12) and the conventional cell measures 6.186, 10.719 and 11.878 Å, with angles of 90.00, 100.04 and 90.00 degrees. The inequivalent atoms are Tb at (0.244, 0.000, 0.252), Tb at (0.245, 0.163, 0.747), Pr at (0.000, 0.334, 0.500), Nd at (0.000, 0.168, 0.000), Nd at (0.000, 0.500, 0.000) and In at (0.000, 0.000, 0.500).

[5]
Material: Ba3In4Pb2
Method: DFT, PBE
State: optimized geometry

The calculated formation energy comes out at -0.446 eV per atom.

The space group is C2/m (No. 12) and the conventional cell measures 12.997, 5.139 and 10.095 Å, with angles of 90.00, 107.23 and 90.00 degrees. The inequivalent atoms are Ba at (0.000, 0.000, 0.000), Ba at (0.182, 0.500, 0.655), In at (0.004, 0.000, 0.347), In at (0.250, 0.000, 0.923) and Pb at (0.117, 0.500, 0.288).

[6]
Material: Th2Tl3AgTe6
Method: DFT, PBE
State: optimized geometry

As for the uncorrected formation energy: -0.733 eV per atom.

The space group is C2/m (No. 12) and the conventional cell measures 7.773, 13.527 and 8.609 Å, with angles of 90.00, 107.40 and 90.00 degrees. The inequivalent atoms are Th at (0.000, 0.166, 0.000), Tl at (0.000, 0.000, 0.500), Tl at (0.000, 0.332, 0.500), Ag at (0.000, 0.500, 0.000), Te at (0.237, 0.000, 0.214) and Te at (0.241, 0.331, 0.219).

[7]
Material: SmYMnCu
Method: DFT, PBE
State: optimized geometry

The calculated formation energy comes out at 0.061 eV per atom.

The space group is F-43m (No. 216) and the conventional cell measures 7.098, 7.098 and 7.098 Å, with angles of 90.00, 90.00 and 90.00 degrees. The inequivalent atoms are Sm at (0.000, 0.000, 0.000), Y at (0.000, 0.000, 0.500), Mn at (0.250, 0.250, 0.750) and Cu at (0.250, 0.250, 0.250).

[8]
Material: Ac2PmOsN5
Method: DFT, PBE
State: optimized geometry

As for the uncorrected formation energy: -0.637 eV per atom.

The space group is I4/mcm (No. 140) and the conventional cell measures 7.060, 7.060 and 11.933 Å, with angles of 90.00, 90.00 and 90.00 degrees. The inequivalent atoms are Ac at (0.176, 0.324, 0.000), Pm at (0.000, 0.000, 0.250), Os at (0.000, 0.500, 0.250), N at (0.000, 0.000, 0.000) and N at (0.147, 0.353, 0.347).

[9]
Material: La2Nd4N
Method: DFT, PBE
State: optimized geometry

As for the uncorrected formation energy: -0.233 eV per atom.

The space group is I4/mmm (No. 139) and the conventional cell measures 5.034, 5.034 and 18.047 Å, with angles of 90.00, 90.00 and 90.00 degrees. The inequivalent atoms are La at (0.000, 0.000, 0.172), Nd at (0.000, 0.000, 0.367), Nd at (0.000, 0.500, 0.000) and N at (0.000, 0.000, 0.500).

[10]
Material: InIF3
Method: DFT, PBE
State: optimized geometry

The relative energy among the computed polymorphs is 0 meV/atom. As for the uncorrected formation energy: -1.913 eV per atom.

The space group is P2_1/m (No. 11) and the conventional cell measures 4.204, 6.397 and 8.258 Å, with angles of 90.00, 90.70 and 90.00 degrees. The inequivalent atoms are In at (0.000, 0.250, 0.001), I at (0.500, 0.250, 0.500), F at (0.003, 0.501, 0.166) and F at (0.500, 0.250, 0.001).

[11]
Material: ReOsCl2
Method: DFT, PBE
State: optimized geometry

The relative energy among the computed polymorphs is 279 meV/atom. As for the uncorrected formation energy: 0.265 eV per atom.

The space group is R3m (No. 160, hexagonal axes) and the conventional cell measures 2.9561, 2.9561 and 28.1697 Å, with angles of 90.00, 90.00 and 120.00 degrees. The inequivalent atoms are Re at (0.0000, 0.0000, 0.0000), Os at (0.0000, 0.0000, 0.2624), Cl at (0.0000, 0.0000, 0.5247) and Cl at (0.0000, 0.0000, 0.7339).

[12]
Material: AcCd4Sn4
Method: DFT, PBE
State: optimized geometry

The calculated formation energy comes out at -0.114 eV per atom.

The space group is P4_2/nmc (No. 137, origin choice 2) and the conventional cell measures 6.595, 6.595 and 11.465 Å, with angles of 90.00, 90.00 and 90.00 degrees. The inequivalent atoms are Ac at (0.250, 0.750, 0.250), Cd at (0.034, 0.250, 0.191) and Sn at (0.018, 0.250, 0.468).

[13]
Material: BaLaMnSe4
Method: DFT, PBE
State: optimized geometry

As for the uncorrected formation energy: -1.395 eV per atom.

The space group is Cmcm (No. 63) and the conventional cell measures 6.908, 15.865 and 6.978 Å, with angles of 90.00, 90.00 and 90.00 degrees. The inequivalent atoms are Ba at (0.000, 0.107, 0.250), La at (0.000, 0.382, 0.250), Mn at (0.000, 0.249, 0.750), Se at (0.000, 0.090, 0.750), Se at (0.000, 0.429, 0.750) and Se at (0.250, 0.250, 0.000).

[14]
Material: GdDyCdAg
Method: DFT, PBE
State: optimized geometry

The calculated formation energy comes out at -0.304 eV per atom.

The space group is F-43m (No. 216) and the conventional cell measures 7.415, 7.415 and 7.415 Å, with angles of 90.00, 90.00 and 90.00 degrees. The inequivalent atoms are Gd at (0.000, 0.000, 0.000), Dy at (0.000, 0.000, 0.500), Cd at (0.250, 0.250, 0.250) and Ag at (0.250, 0.250, 0.750).

[15]
Material: Na2Pt2RhS6
Method: DFT, PBE
State: optimized geometry

As for the uncorrected formation energy: -0.570 eV per atom.

The space group is C2/m (No. 12) and the conventional cell measures 6.316, 10.844 and 6.856 Å, with angles of 90.00, 108.32 and 90.00 degrees. The inequivalent atoms are Na at (0.000, 0.167, 0.000), Pt at (0.000, 0.333, 0.500), Rh at (0.000, 0.000, 0.500), S at (0.226, 0.166, 0.688) and S at (0.234, 0.500, 0.685).

[16]
Material: PmSmZnPd
Method: DFT, PBE
State: optimized geometry

The relative energy among the computed polymorphs is 28 meV/atom. The calculated formation energy comes out at -0.529 eV per atom.

The space group is F-43m (No. 216) and the conventional cell measures 7.247, 7.247 and 7.247 Å, with angles of 90.00, 90.00 and 90.00 degrees. The inequivalent atoms are Pm at (0.000, 0.000, 0.000), Sm at (0.000, 0.000, 0.500), Zn at (0.250, 0.250, 0.750) and Pd at (0.250, 0.250, 0.250).

[17]
Material: Mn2TeAu
Method: DFT, PBE
State: optimized geometry

As for the uncorrected formation energy: 0.484 eV per atom.

The space group is F-43m (No. 216) and the conventional cell measures 6.792, 6.792 and 6.792 Å, with angles of 90.00, 90.00 and 90.00 degrees. The inequivalent atoms are Mn at (0.000, 0.000, 0.000), Mn at (0.250, 0.250, 0.250), Te at (0.000, 0.000, 0.500) and Au at (0.250, 0.250, 0.750).

[18]
Material: Tb2ScOs
Method: DFT, PBE
State: optimized geometry

The relative energy among the computed polymorphs is 579 meV/atom. The calculated formation energy comes out at 0.317 eV per atom.

The space group is R-3m (No. 166, hexagonal axes) and the conventional cell measures 3.3392, 3.3392 and 31.7204 Å, with angles of 90.00, 90.00 and 120.00 degrees. The inequivalent atoms are Tb at (0.0000, 0.0000, 0.1010), Sc at (0.0000, 0.0000, 0.0000) and Os at (0.0000, 0.0000, 0.5000).

[19]
Material: CsLiAgTe2
Method: DFT, PBE
State: optimized geometry

The relative energy among the computed polymorphs is 592 meV/atom. As for the uncorrected formation energy: -0.085 eV per atom.

The space group is P4/mmm (No. 123) and the conventional cell measures 5.403, 5.403 and 5.543 Å, with angles of 90.00, 90.00 and 90.00 degrees. The inequivalent atoms are Cs at (0.000, 0.000, 0.000), Li at (0.000, 0.000, 0.500), Ag at (0.500, 0.500, 0.000) and Te at (0.000, 0.500, 0.500).

[20]
Material: LaSi2Ru
Method: DFT, PBE
State: optimized geometry

As for the uncorrected formation energy: -0.452 eV per atom.

The space group is I-42d (No. 122) and the conventional cell measures 4.827, 4.827 and 15.736 Å, with angles of 90.00, 90.00 and 90.00 degrees. The inequivalent atoms are La at (0.000, 0.000, 0.000), Si at (0.001, 0.250, 0.625) and Ru at (0.000, 0.000, 0.500).

[21]
Material: KSrAuS2
Method: DFT, PBE
State: optimized geometry

As for the uncorrected formation energy: -1.237 eV per atom.

The space group is P2/c (No. 13) and the conventional cell measures 7.235, 5.596 and 8.198 Å, with angles of 90.00, 97.39 and 90.00 degrees. The inequivalent atoms are K at (0.000, 0.090, 0.250), Sr at (0.500, 0.483, 0.750), Au at (0.500, 0.000, 0.000) and S at (0.259, 0.281, 0.981).

[22]
Material: ScZn2Br
Method: DFT, PBE
State: optimized geometry

The relative energy among the computed polymorphs is 143 meV/atom. As for the uncorrected formation energy: -0.251 eV per atom.

The space group is Pmm2 (No. 25) and the conventional cell measures 3.431, 4.906 and 5.057 Å, with angles of 90.00, 90.00 and 90.00 degrees. The inequivalent atoms are Sc at (0.000, 0.000, 0.000), Zn at (0.500, 0.000, 0.535), Zn at (0.500, 0.500, 0.746) and Br at (0.000, 0.500, 0.204).

[23]
Material: HoTh2Rh
Method: DFT, PBE
State: optimized geometry

The relative energy among the computed polymorphs is 138 meV/atom. The calculated formation energy comes out at -0.329 eV per atom.

The space group is R-3m (No. 166, hexagonal axes) and the conventional cell measures 3.8226, 3.8226 and 27.8542 Å, with angles of 90.00, 90.00 and 120.00 degrees. The inequivalent atoms are Ho at (0.0000, 0.0000, 0.0000), Th at (0.0000, 0.0000, 0.2315) and Rh at (0.0000, 0.0000, 0.5000).

[24]
Material: MgNiPt4
Method: DFT, PBE
State: optimized geometry

The calculated formation energy comes out at -0.125 eV per atom.

The space group is F-43m (No. 216) and the conventional cell measures 7.406, 7.406 and 7.406 Å, with angles of 90.00, 90.00 and 90.00 degrees. The inequivalent atoms are Mg at (0.000, 0.000, 0.000), Ni at (0.250, 0.250, 0.750) and Pt at (0.125, 0.125, 0.375).